1.
Computed, not measured: a relaxed Sc6Te2Ru crystal at the GGA-PBEsol level of DFT.

Unit cell a=3.764 b=7.657 c=7.657 alpha=120.00 beta=90.00 gamma=90.00
Fractional coordinates of all 9 atoms:
Sc: 0.000 0.240 0.000
Sc: 0.000 0.000 0.240
Sc: 0.500 0.000 0.611
Sc: 0.500 0.611 0.000
Sc: 0.500 0.389 0.389
Sc: 0.000 0.760 0.760
Te: 0.000 0.333 0.667
Te: 0.000 0.667 0.333
Ru: 0.500 0.000 0.000

Properties
ΔE_f (raw) (eV/atom): -0.757

2.
Computed, not measured: a relaxed SrCoHPt2 crystal at the GGA-PBEsol level of DFT.

Unit cell a=3.978 b=3.978 c=4.492 alpha=90.00 beta=90.00 gamma=90.00
Fractional coordinates of all 5 atoms:
H: 0.000 0.000 0.000
Sr: 0.000 0.000 0.500
Co: 0.500 0.500 0.500
Pt: 0.000 0.500 0.000
Pt: 0.500 0.000 0.000

Properties
Energy (eV per atom): -5.299

3.
Computed, not measured: a relaxed CdSb2PtI crystal at the GGA-PBEsol level of DFT.

Unit cell a=5.203 b=5.203 c=5.515 alpha=90.00 beta=90.00 gamma=90.00
Fractional coordinates of all 5 atoms:
I: 0.000 0.000 0.500
Sb: 0.500 0.000 0.000
Sb: 0.000 0.500 0.000
Pt: 0.000 0.000 0.000
Cd: 0.500 0.500 0.500

Properties
ΔE_f (raw) (eV/atom): 0.383

Number 1: total moment 0.0 μB/f.u.. Number 2: total moment 1.7 μB/f.u.. Number 3: total moment 0.0 μB/f.u..